Entry 1:
DFT (PBE) results for MgZnNi2 after structural relaxation.

Lattice parameters (Å, degrees): 6.664 6.664 5.379 51.72 51.72 90.00
Fractional positions:
Ni  0.646  0.125  0.250
Ni  0.104  0.625  0.250
Ni  0.375  0.354  0.750
Ni  0.875  0.896  0.750
Zn  0.000  0.000  0.000
Zn  0.750  0.250  0.500
Mg  0.500  0.500  0.000
Mg  0.250  0.750  0.500

## Properties
Density of states at the Fermi level: 3.03 states/eV per cell
V: 14.4 A^3/atom
SG: I-42d, No. 122
ΔH_f (0 K): 0.160 eV/atom

=====

Entry 2:
DFT (PBE) results for Sc8Tc2Sb after structural relaxation.

Lattice parameters (Å, degrees): 4.672 6.812 8.555 112.64 105.81 90.01
Fractional positions:
Sc  0.611  0.217  0.858
Sc  0.974  0.116  0.584
Sc  0.289  0.333  0.214
Sc  0.770  0.989  0.176
Sc  0.371  0.821  0.378
Sc  0.925  0.513  0.487
Sc  0.167  0.567  0.972
Sc  0.563  0.654  0.763
Tc  0.769  0.585  0.174
Tc  0.444  0.264  0.523
Sb  0.117  0.940  0.870

## Properties
Density of states at the Fermi level: 14.26 states/eV per cell
V: 21.8 A^3/atom
SG: Cm, No. 8
E_form (uncorrected): -28 kJ/mol of atoms

=====

Entry 3:
DFT (PBE) results for BaZnSbN2 after structural relaxation.

Lattice parameters (Å, degrees): 4.556 6.017 4.556 90.00 90.00 90.00
Fractional positions:
Sb  0.500  0.500  0.500
Zn  0.000  0.500  0.000
Ba  0.000  0.000  0.000
N  0.000  0.000  0.500
N  0.500  0.000  0.000

## Properties
Density of states at the Fermi level: 4.14 states/eV per cell
V: 25.0 A^3/atom
SG: P4/mmm, No. 123
E_form (uncorrected): 165 kJ/mol of atoms
Energy above the lowest structure with this stoichiometry: 0 meV per atom

=====

Entry 4:
DFT (PBE) results for Cs2SbPd after structural relaxation.

Lattice parameters (Å, degrees): 6.240 6.240 6.240 60.00 60.00 60.00
Last column: magnetic moment on the atom in μB.
Fractional positions:
Cs  0.250  0.250  0.250  0.02
Cs  0.750  0.750  0.750  0.02
Sb  0.500  0.500  0.500  0.37
Pd  0.000  0.000  0.000  0.13

## Properties
Density of states at the Fermi level: 3.55 states/eV per cell
V: 43.0 A^3/atom
SG: Fm-3m, No. 225
E_form (uncorrected): 31 kJ/mol of atoms
Energy above the lowest structure with this stoichiometry: 657 meV per atom

=====

Entry 5:
DFT (PBE) results for KPdBr after structural relaxation.

Lattice parameters (Å, degrees): 3.837 3.838 11.109 96.57 96.78 88.03
Fractional positions:
K  0.610  0.114  0.766
K  0.735  0.235  0.135
Br  0.170  0.672  0.945
Br  0.292  0.789  0.307
Pd  0.661  0.154  0.484
Pd  0.143  0.637  0.528

## Properties
Density of states at the Fermi level: 0.03 states/eV per cell
V: 26.9 A^3/atom
SG: P1, No. 1
E_form (uncorrected): -64 kJ/mol of atoms
Energy above the lowest structure with this stoichiometry: 46 meV per atom

=====

Entry 6:
DFT (PBE) results for VGaReMo after structural relaxation.

Lattice parameters (Å, degrees): 4.376 4.376 4.376 60.00 60.00 60.00
Last column: magnetic moment on the atom in μB.
Fractional positions:
Re  0.250  0.250  0.250  -0.17
Mo  0.000  0.000  0.000  0.16
Ga  0.750  0.750  0.750  0.00
V  0.500  0.500  0.500  0.80

## Properties
Density of states at the Fermi level: 4.42 states/eV per cell
V: 14.8 A^3/atom
SG: F-43m, No. 216
ΔH_f (0 K): 0.003 eV/atom

=====

Entry 7:
DFT (PBE) results for PrEr3Hg2 after structural relaxation.

Lattice parameters (Å, degrees): 5.338 9.461 8.863 125.03 90.00 106.39
Fractional positions:
Pr  0.868  0.735  0.922
Pr  0.132  0.265  0.078
Er  0.306  0.612  0.610
Er  0.936  0.871  0.595
Er  0.618  0.236  0.709
Er  0.382  0.764  0.291
Er  0.064  0.129  0.405
Er  0.694  0.388  0.390
Hg  0.508  0.016  0.848
Hg  0.492  0.984  0.152
Hg  0.775  0.550  0.160
Hg  0.225  0.450  0.840

## Properties
Density of states at the Fermi level: 10.85 states/eV per cell
V: 28.7 A^3/atom
SG: C2/m, No. 12
ΔH_f (0 K): -0.255 eV/atom
Energy above the lowest structure with this stoichiometry: 88 meV per atom